DFT (PBE) results for NaAcCu after structural relaxation.

```
data_NaAcCu
_chemical_formula_sum 'Na1 Ac1 Cu1'
_space_group_name_H-M_alt 'P 1'
_space_group_IT_number 1
_cell_length_a 3.7742
_cell_length_b 3.7742
_cell_length_c 6.9582
_cell_angle_alpha 105.74
_cell_angle_beta 105.74
_cell_angle_gamma 90.00
loop_
_space_group_symop_operation_xyz
'x,y,z'
loop_
_atom_site_label
_atom_site_type_symbol
_atom_site_fract_x
_atom_site_fract_y
_atom_site_fract_z
_atom_site_occupancy
Na1 Na 0.0294 0.0294 0.0588 1
Ac1 Ac 0.2987 0.2987 0.5974 1
Cu1 Cu 0.6719 0.6719 0.3439 1
```

Calculated values
**ΔE_f**: 162.6 meV per atom
**N(E_F)**: 3.1 states/eV/cell
**E above lowest polymorph**: 209.8 meV/atom
**E**: -3.012 eV per atom